Record 1
This record from the Alexandria database describes a geometry-optimized Sr2TlPtN structure. The functional is PBE-GGA.

extended XYZ file:
```
5
Lattice="5.641 0.000 0.000 0.000 5.641 0.000 0.000 0.000 3.873" Properties=species:S:1:pos:R:3 pbc="T T T"
Pt 0.000 0.000 1.937
N 0.000 0.000 0.000
Tl 2.821 2.821 1.937
Sr 0.000 2.821 0.000
Sr 2.821 0.000 0.000
```

Properties
* space-group type: No. 123
* crystal system: tetragonal


Record 2
This record from the Alexandria database describes a geometry-optimized Sr2ZnPtN structure. The functional is PBE-GGA.

extended XYZ file:
```
5
Lattice="5.310 0.000 0.000 0.000 5.310 0.000 0.000 0.000 3.858" Properties=species:S:1:pos:R:3 pbc="T T T"
Zn 0.000 0.000 1.929
Sr 2.655 0.000 0.000
Sr 0.000 2.655 0.000
Pt 2.655 2.655 1.929
N 0.000 0.000 0.000
```

Properties
* space-group type: No. 123
* crystal system: tetragonal


Record 3
This record from the Alexandria database describes a geometry-optimized Sr2ZnPtN structure. The functional is PBE-GGA.

extended XYZ file:
```
5
Lattice="5.468 0.000 0.000 0.000 5.468 0.000 0.000 0.000 3.877" Properties=species:S:1:pos:R:3 pbc="T T T"
Sr 0.000 2.734 0.000
Sr 2.734 0.000 0.000
Pt 0.000 0.000 1.938
Zn 2.734 2.734 1.938
N 0.000 0.000 0.000
```

Properties
* space-group type: No. 123
* crystal system: tetragonal


Record 4
This record from the Alexandria database describes a geometry-optimized Sr2ZnPtN structure. The functional is PBE-GGA.

extended XYZ file:
```
10
Lattice="-3.810 0.432 1.226 -2.039 -4.724 -4.671 1.908 -4.048 7.353" Properties=species:S:1:pos:R:3 pbc="T T T"
Pt -2.159 -3.949 4.597
Pt -1.783 -4.391 -0.689
N -1.051 -7.135 2.552
N -2.890 -1.204 1.356
Zn -0.622 -5.412 3.278
Zn -3.319 -2.928 0.631
Sr -3.360 -6.107 1.623
Sr -4.412 -3.582 -2.534
Sr -0.581 -2.232 2.285
Sr 0.470 -4.758 6.443
```

Properties
* space-group type: No. 11
* crystal system: monoclinic


Values of E_form (uncorrected), in order: -0.478, -0.497, -0.443, -0.606, all in eV/atom.